The following is a DFT calculation (GGA-PBEsol) of Cr2NiPt after structural relaxation.

## Properties
**DFT formation energy**: -16 kJ/mol of formula units
**Crystal system**: tetragonal

a b c (Å): 3.6949 3.6945 4.4312
angles (deg): 114.64 114.64 90.00
With the nearest neighbours (Å) after each atom.
Sites, in units of the cell vectors:
Pt (0.2500, 0.7500, 0.5000)  8 Cr 2.57-2.61, 4 Ni 2.57
Ni (0.5000, 0.5000, 0.0000)  8 Cr 2.57-2.61, 4 Pt 2.57
Cr (0.7501, 0.2501, 0.5002)  4 Cr 2.57, 4 Ni 2.57, 4 Pt 2.61
Cr (0.9999, 0.9999, 0.9999)  4 Cr 2.57, 4 Pt 2.57, 4 Ni 2.61

---

The following is a DFT calculation (GGA-PBEsol) of Sb4TeW after structural relaxation.

## Properties
**Final energy**: -4.78 eV/atom
**Crystal system**: cubic

a b c (Å): 6.0382 6.0382 6.0382
angles (deg): 60.00 60.00 60.00
With the nearest neighbours (Å) after each atom.
Sites, in units of the cell vectors:
Sb (0.8749, 0.3750, 0.3750)  6 Sb 3.02
Sb (0.3750, 0.3750, 0.8749)  6 Sb 3.02
Sb (0.3750, 0.8749, 0.3750)  6 Sb 3.02
Sb (0.3750, 0.3750, 0.3750)  6 Sb 3.02
Te (0.7500, 0.7500, 0.7500)  12 Sb 3.54, 4 W 3.70
W (0.0000, 0.0000, 0.0000)  12 Sb 3.54, 4 Te 3.70

---

The following is a DFT calculation (GGA-PBEsol) of Mn2OsCl after structural relaxation.

## Properties
**Crystal system**: cubic
**Polymorph energy (0 for the lowest one)**: 269 kJ/mol of formula units

a b c (Å): 4.2374 4.2374 4.2374
angles (deg): 60.00 60.00 60.00
With the nearest neighbours (Å) after each atom.
Sites, in units of the cell vectors:
Mn (0.7500, 0.7500, 0.7500)  4 Cl 2.59, 4 Os 2.59
Mn (0.2500, 0.2500, 0.2500)  4 Cl 2.59, 4 Os 2.59
Cl (0.5000, 0.5000, 0.5000)  8 Mn 2.59
Os (0.0000, 0.0000, 0.0000)  8 Mn 2.59

---

The following is a DFT calculation (GGA-PBEsol) of Ca2AlGa2 after structural relaxation.

## Properties
**DFT formation energy**: 36 kJ/mol of formula units
**Crystal system**: tetragonal
**Polymorph energy (0 for the lowest one)**: 226 kJ/mol of formula units

a b c (Å): 4.5502 4.5502 6.8941
angles (deg): 109.27 109.27 90.00
With the nearest neighbours (Å) after each atom.
Sites, in units of the cell vectors:
Ca (0.7500, 0.2500, 0.5000)  4 Ga 2.97, 4 Ca 3.22
Al (0.0000, 0.0000, 0.0000)  8 Ga 3.42, 8 Ca 3.80
Ga (0.5940, 0.5940, 0.1880)  1 Ga 2.29
Ga (0.4060, 0.4060, 0.8120)  1 Ga 2.29
Ca (0.2500, 0.7500, 0.5000)  4 Ga 2.97, 4 Ca 3.22

---

The following is a DFT calculation (GGA-PBEsol) of Te3Os after structural relaxation.

## Properties
**Final energy**: -4.79 eV/atom
**Crystal system**: tetragonal

a b c (Å): 3.3699 5.0516 5.0516
angles (deg): 90.01 90.00 90.00
With the nearest neighbours (Å) after each atom.
Sites, in units of the cell vectors:
Te (0.0000, 0.5000, 0.5000)  10 Te 3.04-3.37
Os (0.0000, 0.0000, 0.0000)  8 Te 3.04, 2 Os 3.37
Te (0.5000, 0.0000, 0.5000)  6 Te 3.04-3.37, 4 Os 3.04
Te (0.5000, 0.5000, 0.0000)  4 Os 3.04, 6 Te 3.04-3.37

---

The following is a DFT calculation (GGA-PBEsol) of MgTcS2 after structural relaxation.

## Properties
**Final energy**: -5.54 eV/atom
**Crystal system**: trigonal

a b c (Å): 3.1697 3.1697 7.9892
angles (deg): 78.56 78.56 60.00
With the nearest neighbours (Å) after each atom.
Sites, in units of the cell vectors:
S (0.9049, 0.9049, 0.2854)  1 Tc 2.22, 3 Mg 2.48
Tc (0.0000, 0.0000, 0.0000)  2 S 2.22
Mg (0.5000, 0.5000, 0.5000)  6 S 2.48
S (0.0951, 0.0951, 0.7146)  1 Tc 2.22, 3 Mg 2.48

---

The following is a DFT calculation (GGA-PBEsol) of NdCl2 after structural relaxation.

## Properties
**Final energy**: -5.01 eV/atom
**Crystal system**: tetragonal

a b c (Å): 3.5348 7.0460 7.0460
angles (deg): 90.00 90.00 90.00
With the nearest neighbours (Å) after each atom.
Sites, in units of the cell vectors:
Nd (0.5000, 0.5000, 0.5000)  6 Cl 2.79-2.81
Cl (0.5000, 0.7802, 0.2198)  3 Nd 2.79-2.81
Cl (0.0000, 0.7198, 0.7198)  3 Nd 2.79-2.81
Cl (0.0000, 0.2802, 0.2802)  3 Nd 2.79-2.81
Nd (0.0000, 0.0000, 0.0000)  6 Cl 2.79-2.81
Cl (0.5000, 0.2198, 0.7802)  3 Nd 2.79-2.81

---

The following is a DFT calculation (GGA-PBEsol) of ScFeSe after structural relaxation.

## Properties
**Final energy**: -7.01 eV/atom
**Crystal system**: cubic

a b c (Å): 4.0555 4.0555 4.0555
angles (deg): 60.00 60.00 60.00
With the nearest neighbours (Å) after each atom.
Sites, in units of the cell vectors:
Sc (0.0000, 0.0000, 0.0000)  4 Fe 2.48
Se (0.5000, 0.5000, 0.5000)  4 Fe 2.48
Fe (0.2500, 0.2500, 0.2500)  4 Sc 2.48, 4 Se 2.48

---

The following is a DFT calculation (GGA-PBEsol) of SmDyIr2 after structural relaxation.

## Properties
**DFT formation energy**: -263 kJ/mol of formula units
**Crystal system**: cubic

a b c (Å): 4.8282 4.8282 4.8282
angles (deg): 60.00 60.00 60.00
With the nearest neighbours (Å) after each atom.
Sites, in units of the cell vectors:
Ir (0.7500, 0.7500, 0.7500)  4 Sm 2.96, 4 Dy 2.96
Dy (0.5000, 0.5000, 0.5000)  8 Ir 2.96
Sm (0.0000, 0.0000, 0.0000)  8 Ir 2.96
Ir (0.2500, 0.2500, 0.2500)  4 Dy 2.96, 4 Sm 2.96

---

The following is a DFT calculation (GGA-PBEsol) of Te2POs after structural relaxation.

## Properties
**Crystal system**: trigonal
**Polymorph energy (0 for the lowest one)**: 56 kJ/mol of formula units

a b c (Å): 3.8910 3.8910 8.2463
angles (deg): 76.35 76.35 60.00
With the nearest neighbours (Å) after each atom.
Sites, in units of the cell vectors:
P (0.0000, 0.0000, 0.0000)  2 Te 2.60
Te (0.8908, 0.8908, 0.3275)  1 P 2.60, 3 Os 2.63
Os (0.5000, 0.5000, 0.5000)  6 Te 2.63
Te (0.1092, 0.1092, 0.6725)  1 P 2.60, 3 Os 2.63

---

The following is a DFT calculation (GGA-PBEsol) of TiBe2Ni after structural relaxation.

## Properties
**DFT formation energy**: 115 kJ/mol of formula units
**Crystal system**: tetragonal

a b c (Å): 3.3926 3.3926 8.5617
angles (deg): 101.43 101.43 90.00
With the nearest neighbours (Å) after each atom.
Sites, in units of the cell vectors:
Ni (0.2500, 0.7500, 0.5000)  4 Be 2.32, 4 Ti 2.40
Be (0.3258, 0.8750, 0.2500)  2 Be 2.18, 2 Ni 2.32
Ni (0.0000, 0.0000, 0.0000)  4 Be 2.32, 4 Ti 2.40
Be (0.9242, 0.3750, 0.2500)  2 Be 2.18, 2 Ni 2.32
Be (0.6250, 0.6742, 0.7500)  2 Be 2.18, 2 Ni 2.32
Ti (0.7500, 0.2500, 0.5000)  4 Ni 2.40, 4 Be 2.44
Be (0.1250, 0.0758, 0.7500)  2 Be 2.18, 2 Ni 2.32
Ti (0.5000, 0.5000, 0.0000)  4 Ni 2.40, 4 Be 2.44

---

The following is a DFT calculation (GGA-PBEsol) of K2SbAu after structural relaxation.

## Properties
**Final energy**: -3.07 eV/atom
**Crystal system**: orthorhombic

a b c (Å): 4.8430 5.8779 6.0144
angles (deg): 119.25 113.74 90.00
With the nearest neighbours (Å) after each atom.
Sites, in units of the cell vectors:
K (0.7836, 0.2836, 0.5671)  4 K 3.43-3.77, 4 Sb 3.55-3.60, 1 Au 3.63
Sb (0.5696, 0.5696, 0.1392)  2 Au 2.61
Au (0.1732, 0.6732, 0.3464)  2 Sb 2.61
K (0.9736, 0.9736, 0.9472)  4 K 3.43-3.77, 4 Au 3.48-3.70, 1 Sb 3.76